Record 1
A geometry-optimized KMgNiCl6 structure, computed with PBE-GGA.

Cell: 6.2254 6.2300 7.0397 Å, 91.03 91.23 117.15°
With the nearest neighbours (Å) after each atom.
Sites, in units of the cell vectors:
K 0.0000 0.0000 0.0000  6 Cl 3.14-3.21
Mg 0.3270 0.6733 0.5002  6 Cl 2.43-2.56
Ni 0.6693 0.3305 0.5001  4 Cl 2.24-2.25
Cl 0.3833 0.0094 0.7121  1 Mg 2.43, 1 Ni 2.52
Cl 0.3871 0.3551 0.3123  1 Ni 2.24
Cl 0.6452 0.6118 0.6883  1 Ni 2.24
Cl 0.6458 0.0190 0.3179  1 Ni 2.25
Cl 0.9815 0.3532 0.6819  1 Ni 2.25
Cl 0.9896 0.6175 0.2887  1 Mg 2.43, 1 Ni 2.52

## Properties
* crystal system: triclinic
* uncorrected formation energy: -1.254 eV/atom

***

Record 2
A geometry-optimized KMgNpCl6 structure, computed with PBE-GGA.

Cell: 6.9279 6.9279 13.6476 Å, 90.00 90.00 120.00°
With the nearest neighbours (Å) after each atom.
Sites, in units of the cell vectors:
K 0.0000 0.0000 0.0000  6 Cl 3.22
K 0.0000 0.0000 0.5000  6 Cl 3.22
Mg 0.3333 0.6667 0.2500  6 Cl 2.54
Mg 0.6667 0.3333 0.7500  6 Cl 2.54
Np 0.3333 0.6667 0.7500  6 Cl 2.75
Np 0.6667 0.3333 0.2500  6 Cl 2.75
Cl 0.0227 0.3809 0.1424  1 Mg 2.54, 1 Np 2.75
Cl 0.0227 0.6418 0.3576  1 Mg 2.54, 1 Np 2.75
Cl 0.3582 0.3809 0.3576  1 Mg 2.54, 1 Np 2.75
Cl 0.3582 0.9773 0.1424  1 Mg 2.54, 1 Np 2.75
Cl 0.3809 0.0227 0.6424  1 Mg 2.54, 1 Np 2.75
Cl 0.3809 0.3582 0.8576  1 Mg 2.54, 1 Np 2.75
Cl 0.6191 0.6418 0.1424  1 Mg 2.54, 1 Np 2.75
Cl 0.6191 0.9773 0.3576  1 Mg 2.54, 1 Np 2.75
Cl 0.6418 0.0227 0.8576  1 Mg 2.54, 1 Np 2.75
Cl 0.6418 0.6191 0.6424  1 Mg 2.54, 1 Np 2.75
Cl 0.9773 0.3582 0.6424  1 Mg 2.54, 1 Np 2.75
Cl 0.9773 0.6191 0.8576  1 Mg 2.54, 1 Np 2.75

## Properties
* crystal system: trigonal
* uncorrected formation energy: -1.829 eV/atom

***

Record 3
A geometry-optimized K2Mg3NpCl12 structure, computed with PBE-GGA.

Cell: 9.7363 9.7363 9.7363 Å, 55.71 55.71 55.71°
With the nearest neighbours (Å) after each atom.
Sites, in units of the cell vectors:
K 0.0775 0.0775 0.0775  3 Cl 3.43, 1 K 3.81
K 0.9225 0.9225 0.9225  3 Cl 3.43, 1 K 3.81
Mg 0.0000 0.5000 0.5000  6 Cl 2.47-2.67
Mg 0.5000 0.0000 0.5000  6 Cl 2.47-2.67
Mg 0.5000 0.5000 0.0000  6 Cl 2.47-2.67
Np 0.5000 0.5000 0.5000  6 Cl 2.61
Cl 0.1662 0.5773 0.5773  1 Np 2.61, 1 Mg 2.67
Cl 0.1779 0.1779 0.5828  2 Mg 2.47
Cl 0.1779 0.5828 0.1779  2 Mg 2.47
Cl 0.4172 0.8221 0.8221  2 Mg 2.47
Cl 0.4227 0.4227 0.8338  1 Np 2.61, 1 Mg 2.67
Cl 0.4227 0.8338 0.4227  1 Np 2.61, 1 Mg 2.67
Cl 0.5773 0.1662 0.5773  1 Np 2.61, 1 Mg 2.67
Cl 0.5773 0.5773 0.1662  1 Np 2.61, 1 Mg 2.67
Cl 0.5828 0.1779 0.1779  2 Mg 2.47
Cl 0.8221 0.4172 0.8221  2 Mg 2.47
Cl 0.8221 0.8221 0.4172  2 Mg 2.47
Cl 0.8338 0.4227 0.4227  1 Np 2.61, 1 Mg 2.67

## Properties
* crystal system: trigonal
* uncorrected formation energy: -1.752 eV/atom

***

Record 4
A geometry-optimized KMgP2Cl structure, computed with PBE-GGA.

Cell: 6.1154 6.1154 7.3913 Å, 90.00 90.00 90.00°
With the nearest neighbours (Å) after each atom.
Sites, in units of the cell vectors:
K 0.0000 0.0000 0.0000  4 P 3.06
Mg 0.0000 0.0000 0.5000  2 K 3.70
P 0.0000 0.5000 0.0000  2 K 3.06
P 0.5000 0.0000 0.0000  2 K 3.06
Cl 0.5000 0.5000 0.5000  4 Mg 4.32, 8 P 4.80

## Properties
* crystal system: tetragonal
* uncorrected formation energy: 1.282 eV/atom

***

Record 5
A geometry-optimized KMgP2Cl structure, computed with PBE-GGA.

Cell: 5.9592 5.9592 5.4829 Å, 90.00 90.00 90.00°
With the nearest neighbours (Å) after each atom.
Sites, in units of the cell vectors:
K 0.0000 0.0000 0.0000  2 Cl 2.74, 4 P 2.98
Mg 0.5000 0.5000 0.5000  8 P 4.05, 4 Cl 4.21
P 0.0000 0.5000 0.0000  2 K 2.98
P 0.5000 0.0000 0.0000  2 K 2.98
Cl 0.0000 0.0000 0.5000  2 K 2.74

## Properties
* crystal system: tetragonal
* uncorrected formation energy: 0.948 eV/atom

***

Record 6
A geometry-optimized KMgP2Cl structure, computed with PBE-GGA.

Cell: 4.9623 4.9623 5.4767 Å, 90.00 90.00 90.00°
With the nearest neighbours (Å) after each atom.
Sites, in units of the cell vectors:
K 0.0000 0.0000 0.0000  4 Cl 3.51, 8 P 3.70
Mg 0.5000 0.5000 0.5000  4 P 2.48, 2 Cl 2.74
P 0.0000 0.5000 0.5000  2 Mg 2.48
P 0.5000 0.0000 0.5000  2 Mg 2.48
Cl 0.5000 0.5000 0.0000  2 Mg 2.74

## Properties
* crystal system: tetragonal
* uncorrected formation energy: -0.134 eV/atom

***

> Number 5 is which compound?

KMgP2Cl

***

> The lowest uncorrected formation energy belongs to which entry?

KMgNpCl6

***

What did the first record say?
A geometry-optimized KMgNiCl6 structure, computed with PBE-GGA.

Cell: 6.2254 6.2300 7.0397 Å, 91.03 91.23 117.15°
With the nearest neighbours (Å) after each atom.
Sites, in units of the cell vectors:
K 0.0000 0.0000 0.0000  6 Cl 3.14-3.21
Mg 0.3270 0.6733 0.5002  6 Cl 2.43-2.56
Ni 0.6693 0.3305 0.5001  4 Cl 2.24-2.25
Cl 0.3833 0.0094 0.7121  1 Mg 2.43, 1 Ni 2.52
Cl 0.3871 0.3551 0.3123  1 Ni 2.24
Cl 0.6452 0.6118 0.6883  1 Ni 2.24
Cl 0.6458 0.0190 0.3179  1 Ni 2.25
Cl 0.9815 0.3532 0.6819  1 Ni 2.25
Cl 0.9896 0.6175 0.2887  1 Mg 2.43, 1 Ni 2.52

## Properties
* crystal system: triclinic
* uncorrected formation energy: -1.254 eV/atom